SbP2Ir, optimized geometry, DFT PBE; density of states at the Fermi level = 1.357 states/eV/f.u.; M_tot = 0.000 μB per atom; symmetry = P2/m; energy relative to the elements, uncorrected = -0.157 eV per atom; calculated total energy = -6.1076 eV/atom
1.0
4.398 0.000 0.000
0.000 3.723 0.000
-1.355 0.000 4.525
Sb P Ir
1 2 1
Cartesian
0.000 0.000 0.000
0.172 1.861 2.956
2.871 1.861 1.569
1.521 0.000 2.262

---

BaHSe, optimized geometry, DFT PBE; M_tot = 0.000 μB per atom; symmetry = C2/m; calculated total energy = -3.8723 eV/atom
1.0
14.528 0.000 0.000
0.000 4.535 0.000
-0.810 0.000 4.500
Ba H Se
4 4 4
Cartesian
1.967 0.000 1.003
4.487 2.267 3.497
9.231 2.267 1.003
11.751 0.000 3.497
3.390 2.267 0.984
3.064 0.000 3.516
10.654 0.000 0.984
10.328 2.267 3.516
0.519 2.267 3.039
5.936 0.000 1.461
7.783 0.000 3.039
13.200 2.267 1.461

---

TiAgAu, optimized geometry, DFT PBE; density of states at the Fermi level = 1.145 states/eV/f.u.; M_tot = 0.000 μB per atom; symmetry = I4/mmm; polymorph energy (0 for the lowest one) = 0.28 eV/f.u.; formation energy = -0.140 eV/atom; calculated total energy = -4.8143 eV/atom
1.0
2.961 0.000 0.000
0.000 2.961 0.000
0.000 0.000 25.207
Ti Ag Au
4 4 4
Cartesian
0.000 0.000 5.362
0.000 0.000 19.844
1.481 1.481 7.241
1.481 1.481 17.966
0.000 0.000 1.375
0.000 0.000 23.831
1.481 1.481 11.228
1.481 1.481 13.979
0.000 0.000 9.127
0.000 0.000 16.079
1.481 1.481 3.476
1.481 1.481 21.731

---

K2TaP, optimized geometry, DFT PBE; density of states at the Fermi level = 3.519 states/eV/f.u.; M_tot = 0.067 μB per atom; symmetry = P4mm; formation energy = 0.136 eV/atom; calculated total energy = -4.7280 eV/atom
1.0
3.503 0.000 0.000
0.000 3.503 0.000
0.000 0.000 10.451
K Ta P
2 1 1
Cartesian
0.000 0.000 0.000
1.752 1.752 4.189
1.752 1.752 7.566
0.000 0.000 7.138

---

BeP2Pt, optimized geometry, DFT PBE; density of states at the Fermi level = 0.694 states/eV/f.u.; M_tot = 0.000 μB per atom; symmetry = Cm; formation energy = -0.108 eV/atom; calculated total energy = -5.2544 eV/atom
1.0
7.505 0.000 0.000
0.000 3.274 0.000
-2.169 0.000 4.783
Be P Pt
2 4 2
Cartesian
0.000 0.000 0.000
3.752 1.637 0.000
-0.559 1.637 1.864
-0.436 0.000 3.561
3.194 0.000 1.864
3.317 1.637 3.561
1.612 1.637 0.731
5.364 0.000 0.731

---

Rb2Bi2Pd, optimized geometry, DFT PBE; density of states at the Fermi level = 2.105 states/eV/f.u.; M_tot = 0.000 μB per atom; symmetry = Ibam; formation energy = -0.270 eV/atom; calculated total energy = -3.2482 eV/atom
1.0
-3.367 10.090 3.293
3.367 -10.090 3.293
3.367 10.090 -3.293
Rb Bi Pd
4 4 2
Cartesian
1.520 3.008 0.000
1.520 -3.008 3.293
1.847 13.098 0.000
1.847 7.081 3.293
4.694 0.867 0.000
1.327 9.222 0.000
2.040 0.867 3.293
-1.327 9.222 3.293
0.000 0.000 1.647
0.000 0.000 4.940

---

AlF3, optimized geometry, DFT PBE; density of states at the Fermi level = 0.000 states/eV/f.u.; M_tot = 0.000 μB per atom; symmetry = Cmcm; energy relative to the elements, uncorrected = -3.552 eV per atom; calculated total energy = -5.8914 eV/atom
1.0
3.512 -6.077 0.000
3.512 6.077 0.000
0.000 0.000 7.249
Al F
6 18
Cartesian
0.000 0.000 0.000
0.000 0.000 3.625
1.756 3.039 0.000
1.756 3.039 3.625
1.756 -3.039 0.000
1.756 -3.039 3.625
3.512 5.909 5.437
1.864 2.892 1.812
1.293 1.279 3.739
1.293 1.279 7.135
3.512 2.571 3.765
3.512 2.571 7.109
1.293 -1.279 0.114
1.293 -1.279 3.510
5.159 2.892 1.812
1.864 -2.892 5.437
5.730 1.279 3.739
5.730 1.279 7.135
3.512 -2.571 0.140
3.512 -2.571 3.485
5.730 -1.279 0.114
5.730 -1.279 3.510
5.159 -2.892 5.437
3.512 -5.909 1.812

---

Mn2TlOs2, optimized geometry, DFT PBE; density of states at the Fermi level = 3.150 states/eV/f.u.; M_tot = 0.200 μB per atom; symmetry = I4/mmm; formation energy = 0.545 eV/atom; calculated total energy = -8.0880 eV/atom
1.0
3.963 0.000 0.000
0.000 3.963 0.000
0.000 0.000 10.005
Mn Tl Os
4 2 4
Cartesian
0.000 0.000 1.078
0.000 0.000 8.927
1.982 1.982 3.924
1.982 1.982 6.081
0.000 0.000 5.003
1.982 1.982 0.000
0.000 1.982 2.501
0.000 1.982 7.504
1.982 0.000 2.501
1.982 0.000 7.504

---

Tc2IrRuPb, optimized geometry, DFT PBE; density of states at the Fermi level = 7.582 states/eV/f.u.; M_tot = 0.491 μB per atom; symmetry = P4/mmm; formation energy = 1.516 eV/atom; calculated total energy = -6.9999 eV/atom
1.0
4.762 0.000 0.000
0.000 4.762 0.000
0.000 0.000 4.776
Tc Ir Ru Pb
2 1 1 1
Cartesian
0.000 2.381 0.000
2.381 0.000 0.000
0.000 0.000 0.000
0.000 0.000 2.388
2.381 2.381 2.388

---

Pm2Y4Tm2Th, optimized geometry, DFT PBE; density of states at the Fermi level = 13.128 states/eV/f.u.; M_tot = 0.000 μB per atom; symmetry = C2/m; formation energy = 0.009 eV/atom; calculated total energy = -5.7378 eV/atom
1.0
9.338 -1.805 0.000
9.338 1.805 0.000
-4.149 0.000 8.642
Pm Y Tm Th
2 4 2 1
Cartesian
2.077 0.000 1.456
12.451 0.000 7.186
-0.019 0.000 7.188
8.282 0.000 1.492
6.246 0.000 7.151
14.548 0.000 1.454
4.195 0.000 4.286
10.334 0.000 4.356
-2.074 0.000 4.321

---

ZrP2Os, optimized geometry, DFT PBE; density of states at the Fermi level = 3.253 states/eV/f.u.; M_tot = 0.000 μB per atom; symmetry = I-42d; polymorph energy (0 for the lowest one) = 1.49 eV/f.u.; formation energy = -0.264 eV/atom; calculated total energy = -7.9139 eV/atom
1.0
4.924 0.000 0.000
0.000 4.924 0.000
0.000 0.000 13.294
Zr P Os
4 8 4
Cartesian
0.000 0.000 0.000
0.000 2.462 3.323
2.462 0.000 9.970
2.462 2.462 6.647
0.943 1.231 8.309
1.231 3.405 11.632
1.231 3.981 4.985
1.519 1.231 1.662
3.405 3.693 1.662
3.693 0.943 4.985
3.693 1.519 11.632
3.981 3.693 8.309
0.000 0.000 6.647
0.000 2.462 9.970
2.462 0.000 3.323
2.462 2.462 0.000

---

Ce2YHo3Se6, optimized geometry, DFT PBE; density of states at the Fermi level = 14.423 states/eV/f.u.; M_tot = 0.159 μB per atom; symmetry = C2/m; energy relative to the elements, uncorrected = -1.771 eV per atom; calculated total energy = -6.1858 eV/atom
1.0
3.541 -6.144 0.000
3.541 6.144 0.000
-2.371 0.000 6.767
Ce Y Ho Se
2 1 3 6
Cartesian
3.541 4.101 0.000
3.541 -4.101 0.000
3.541 0.000 0.000
-1.185 0.000 3.383
2.355 2.053 3.383
2.355 -2.053 3.383
0.011 2.019 5.010
1.213 0.000 1.761
0.011 -2.019 5.010
4.700 2.019 1.757
3.497 0.000 5.006
4.700 -2.019 1.757